# Na4NdNp3Te8 GGA-PBE optimized geometry
data_Na4NdNp3Te8
_symmetry_space_group_name_H-M 'R -3 m'
_symmetry_Int_Tables_number 166
_symmetry_space_group_name_Hall '-R 3 2"'
_cell_length_a 9.0173
_cell_length_b 9.0173
_cell_length_c 22.5375
_cell_angle_alpha 90.00
_cell_angle_beta 90.00
_cell_angle_gamma 120.00
loop_
_atom_site_label
_atom_site_fract_x
_atom_site_fract_y
_atom_site_fract_z
Na1 0.0000 0.0000 0.0000
Na2 0.0000 0.5000 0.0000
Nd1 0.0000 0.0000 0.5000
Np1 0.0000 0.5000 0.5000
Te1 0.0000 0.0000 0.2441
Te2 0.0036 0.5018 0.7543
# Electronic total energy (eV/cell): -267.0

# NaNdNp2Te4 GGA-PBE optimized geometry
data_NaNdNp2Te4
_symmetry_space_group_name_H-M 'P 1 2/m 1'
_symmetry_Int_Tables_number 10
_cell_length_a 7.735
_cell_length_b 4.437
_cell_length_c 7.813
_cell_angle_alpha 90.00
_cell_angle_beta 109.33
_cell_angle_gamma 90.00
loop_
_symmetry_equiv_pos_as_xyz
'x,y,z'
'-x,-y,-z'
'-x,y,-z'
'x,-y,z'
loop_
_atom_site_label
_atom_site_fract_x
_atom_site_fract_y
_atom_site_fract_z
Na1 0.000 0.000 0.000
Nd1 0.000 0.500 0.500
Np1 0.500 0.000 0.500
Np2 0.500 0.500 0.000
Te1 0.254 0.500 0.252
Te2 0.255 0.000 0.754
# Electronic total energy (eV/cell): -51.6

# NaNd2O GGA-PBE optimized geometry
data_NaNd2O
_symmetry_space_group_name_H-M 'R -3 m'
_symmetry_Int_Tables_number 166
_symmetry_space_group_name_Hall '-R 3 2"'
_cell_length_a 3.6654
_cell_length_b 3.6654
_cell_length_c 29.5103
_cell_angle_alpha 90.00
_cell_angle_beta 90.00
_cell_angle_gamma 120.00
loop_
_atom_site_label
_atom_site_fract_x
_atom_site_fract_y
_atom_site_fract_z
Na1 0.0000 0.0000 0.0000
Nd1 0.0000 0.0000 0.1208
O1 0.0000 0.0000 0.5000
# Electronic total energy (eV/cell): -60.6

# NaNdO2 GGA-PBE optimized geometry
data_NaNdO2
_symmetry_space_group_name_H-M 'R 3 m'
_symmetry_Int_Tables_number 160
_symmetry_space_group_name_Hall 'R 3 -2"'
_cell_length_a 3.5641
_cell_length_b 3.5641
_cell_length_c 17.9508
_cell_angle_alpha 90.00
_cell_angle_beta 90.00
_cell_angle_gamma 120.00
loop_
_atom_site_label
_atom_site_fract_x
_atom_site_fract_y
_atom_site_fract_z
Na1 0.0000 0.0000 0.0000
Nd1 0.0000 0.0000 0.1757
O1 0.0000 0.0000 0.5807
O2 0.0000 0.0000 0.7752
# Electronic total energy (eV/cell): -78.4

# NaNdO2 GGA-PBE optimized geometry
data_NaNdO2
_symmetry_space_group_name_H-M 'I 41/a m d'
_symmetry_Int_Tables_number 141
_cell_length_a 4.765
_cell_length_b 4.765
_cell_length_c 11.106
_cell_angle_alpha 90.00
_cell_angle_beta 90.00
_cell_angle_gamma 90.00
loop_
_symmetry_equiv_pos_as_xyz
'x,y,z'
'-x,-y,-z'
'-y+1/4,x+3/4,z+1/4'
'y+1/4,-x+3/4,-z+1/4'
'-x+1/2,-y,z+1/2'
'x+1/2,y,-z+1/2'
'y+1/4,-x+1/4,z+3/4'
'-y+1/4,x+1/4,-z+3/4'
'x,-y,-z'
'-x,y,z'
'-y+1/4,-x+1/4,-z+3/4'
'y+1/4,x+1/4,z+3/4'
'-x+1/2,y,-z+1/2'
'x+1/2,-y,z+1/2'
'y+1/4,x+3/4,-z+1/4'
'-y+1/4,-x+3/4,z+1/4'
'x+1/2,y+1/2,z+1/2'
'-x+1/2,-y+1/2,-z+1/2'
'-y+3/4,x+1/4,z+3/4'
'y+3/4,-x+1/4,-z+3/4'
'-x,-y+1/2,z'
'x,y+1/2,-z'
'y+3/4,-x+3/4,z+1/4'
'-y+3/4,x+3/4,-z+1/4'
'x+1/2,-y+1/2,-z+1/2'
'-x+1/2,y+1/2,z+1/2'
'-y+3/4,-x+3/4,-z+1/4'
'y+3/4,x+3/4,z+1/4'
'-x,y+1/2,-z'
'x,-y+1/2,z'
'y+3/4,x+1/4,-z+3/4'
'-y+3/4,-x+1/4,z+3/4'
loop_
_atom_site_label
_atom_site_fract_x
_atom_site_fract_y
_atom_site_fract_z
Na1 0.000 0.250 0.375
Nd1 0.000 0.250 0.875
O1 0.000 0.250 0.093
# Electronic total energy (eV/cell): -106.3

# Na3NdO3 GGA-PBE optimized geometry
data_Na3NdO3
_symmetry_space_group_name_H-M 'C 1 2/m 1'
_symmetry_Int_Tables_number 12
_cell_length_a 12.164
_cell_length_b 7.092
_cell_length_c 7.115
_cell_angle_alpha 90.00
_cell_angle_beta 125.76
_cell_angle_gamma 90.00
loop_
_symmetry_equiv_pos_as_xyz
'x,y,z'
'-x,-y,-z'
'-x,y,-z'
'x,-y,z'
'x+1/2,y+1/2,z'
'-x+1/2,-y+1/2,-z'
'-x+1/2,y+1/2,-z'
'x+1/2,-y+1/2,z'
loop_
_atom_site_label
_atom_site_fract_x
_atom_site_fract_y
_atom_site_fract_z
Na1 0.000 0.209 0.000
Na2 0.000 0.210 0.500
Na3 0.224 0.000 0.474
Nd1 0.229 0.000 0.978
O1 0.009 0.000 0.759
O2 0.250 0.250 0.225
# Electronic total energy (eV/cell): -148.5

# Na3Nd3OsO8 GGA-PBE optimized geometry
data_Na3Nd3OsO8
_symmetry_space_group_name_H-M 'R -3 m'
_symmetry_Int_Tables_number 166
_symmetry_space_group_name_Hall '-R 3 2"'
_cell_length_a 6.9511
_cell_length_b 6.9511
_cell_length_c 16.7720
_cell_angle_alpha 90.00
_cell_angle_beta 90.00
_cell_angle_gamma 120.00
loop_
_atom_site_label
_atom_site_fract_x
_atom_site_fract_y
_atom_site_fract_z
Na1 0.0000 0.5000 0.0000
Nd1 0.0000 0.5000 0.5000
Os1 0.0000 0.0000 0.5000
O1 0.0000 0.0000 0.2401
O2 0.0395 0.5197 0.2338
# Electronic total energy (eV/cell): -306.9

# NaNd2OsO8 GGA-PBE optimized geometry
data_NaNd2OsO8
_symmetry_space_group_name_H-M 'P -1'
_symmetry_Int_Tables_number 2
_cell_length_a 4.326
_cell_length_b 5.226
_cell_length_c 7.199
_cell_angle_alpha 89.95
_cell_angle_beta 75.82
_cell_angle_gamma 89.83
loop_
_symmetry_equiv_pos_as_xyz
'x,y,z'
'-x,-y,-z'
loop_
_atom_site_label
_atom_site_fract_x
_atom_site_fract_y
_atom_site_fract_z
Na1 0.000 0.000 0.000
Nd1 0.383 0.513 0.283
Os1 0.000 0.000 0.500
O1 0.166 0.465 0.001
O2 0.178 0.309 0.590
O3 0.229 0.786 0.617
O4 0.321 0.984 0.259
# Electronic total energy (eV/cell): -84.8

# NaNdOs2O8 GGA-PBE optimized geometry
data_NaNdOs2O8
_symmetry_space_group_name_H-M 'I -4'
_symmetry_Int_Tables_number 82
_cell_length_a 5.360
_cell_length_b 5.360
_cell_length_c 11.657
_cell_angle_alpha 90.00
_cell_angle_beta 90.00
_cell_angle_gamma 90.00
loop_
_symmetry_equiv_pos_as_xyz
'x,y,z'
'y,-x,-z'
'-x,-y,z'
'-y,x,-z'
'x+1/2,y+1/2,z+1/2'
'y+1/2,-x+1/2,-z+1/2'
'-x+1/2,-y+1/2,z+1/2'
'-y+1/2,x+1/2,-z+1/2'
loop_
_atom_site_label
_atom_site_fract_x
_atom_site_fract_y
_atom_site_fract_z
Na1 0.000 0.000 0.000
Nd1 0.000 0.500 0.750
Os1 0.000 0.000 0.500
Os2 0.000 0.500 0.250
O1 0.148 0.243 0.585
O2 0.159 0.745 0.171
# Electronic total energy (eV/cell): -172.9

# Na2NdOs3O12 GGA-PBE optimized geometry
data_Na2NdOs3O12
_symmetry_space_group_name_H-M 'R -3 m'
_symmetry_Int_Tables_number 166
_symmetry_space_group_name_Hall '-R 3 2"'
_cell_length_a 7.3418
_cell_length_b 7.3418
_cell_length_c 15.3025
_cell_angle_alpha 90.00
_cell_angle_beta 90.00
_cell_angle_gamma 120.00
loop_
_atom_site_label
_atom_site_fract_x
_atom_site_fract_y
_atom_site_fract_z
Na1 0.0000 0.0000 0.1107
Nd1 0.0000 0.0000 0.5000
Os1 0.0000 0.5000 0.0000
O1 0.0747 0.5373 0.8867
O2 0.0767 0.5384 0.2997
# Electronic total energy (eV/cell): -378.0

# NaNd2PO6 GGA-PBE optimized geometry
data_NaNd2PO6
_symmetry_space_group_name_H-M 'P 4 m m'
_symmetry_Int_Tables_number 99
_cell_length_a 5.305
_cell_length_b 5.305
_cell_length_c 4.616
_cell_angle_alpha 90.00
_cell_angle_beta 90.00
_cell_angle_gamma 90.00
loop_
_symmetry_equiv_pos_as_xyz
'x,y,z'
'-y,x,z'
'-x,-y,z'
'y,-x,z'
'-x,y,z'
'y,x,z'
'x,-y,z'
'-y,-x,z'
loop_
_atom_site_label
_atom_site_fract_x
_atom_site_fract_y
_atom_site_fract_z
Na1 0.000 0.000 0.000
Nd1 0.000 0.500 0.439
P1 0.500 0.500 0.027
O1 0.000 0.000 0.528
O2 0.285 0.285 0.122
O3 0.500 0.500 0.680
# Electronic total energy (eV/cell): -72.1

# NaNd2PaO6 GGA-PBE optimized geometry
data_NaNd2PaO6
_symmetry_space_group_name_H-M 'R 3'
_symmetry_Int_Tables_number 146
_symmetry_space_group_name_Hall 'R 3'
_cell_length_a 6.0546
_cell_length_b 6.0546
_cell_length_c 15.6033
_cell_angle_alpha 90.00
_cell_angle_beta 90.00
_cell_angle_gamma 120.00
loop_
_atom_site_label
_atom_site_fract_x
_atom_site_fract_y
_atom_site_fract_z
Na1 0.0000 0.0000 0.0000
Nd1 0.0000 0.0000 0.2725
Nd2 0.0000 0.0000 0.7790
Pa1 0.0000 0.0000 0.4865
O1 0.0141 0.7374 0.3926
O2 0.0316 0.3418 0.5478
# Electronic total energy (eV/cell): -245.9

| no. | calculated volume (Å³ per cell) | raw formation energy (eV per atom) | density (kg/m3) |
| --- | --- | --- | --- |
| 1 | 1587.0 | -0.94 | 6177 |
| 2 | 253.0 | -0.89 | 7557 |
| 3 | 343.4 | -1.10 | 4751 |
| 4 | 197.5 | -2.53 | 5026 |
| 5 | 252.2 | -2.64 | 5247 |
| 6 | 498.1 | -1.93 | 3483 |
| 7 | 701.8 | -2.21 | 5820 |
| 8 | 157.8 | -1.92 | 6626 |
| 9 | 334.9 | -1.52 | 6701 |
| 10 | 714.3 | -1.41 | 6645 |
| 11 | 129.9 | -2.61 | 5605 |
| 12 | 495.4 | -3.19 | 6421 |